Record 1
Here is an optimized crystal structure of ZnBSe2Br from Alexandria via LeMat-Bulk. Energies are from GGA-PBE.

a b c (Å): 4.869 4.869 5.321
angles (deg): 90.00 90.00 90.00
Space group P4/mmm (No. 123)
Inequivalent atoms, fractional coordinates:
Zn 0.000 0.000 0.000 (multiplicity 1)
B 0.500 0.500 0.500 (multiplicity 1)
Se 0.000 0.500 0.000 (multiplicity 2)
Br 0.000 0.000 0.500 (multiplicity 1)

Computed properties:
Formation energy from raw total energies   1.066 eV/atom
M_tot   0.00 μB/f.u.

=====

Record 2
Here is an optimized crystal structure of Pm4ScAl from Alexandria via LeMat-Bulk. Energies are from GGA-PBE.

a b c (Å): 9.465 14.271 5.725
angles (deg): 90.00 107.54 90.00
Space group C2/c (No. 15)
Inequivalent atoms, fractional coordinates:
Pm 0.122 0.182 0.079 (multiplicity 8)
Pm 0.205 0.419 0.344 (multiplicity 8)
Sc 0.000 0.381 0.750 (multiplicity 4)
Al 0.000 0.002 0.750 (multiplicity 4)

Computed properties:
M_tot   0.00 μB/f.u.
Energy relative to the elements   0.004 eV/atom

=====

Record 3
Here is an optimized crystal structure of K2InRu from Alexandria via LeMat-Bulk. Energies are from GGA-PBE.

a b c (Å): 4.220 4.220 5.717
angles (deg): 90.00 90.00 90.00
Space group P4/mmm (No. 123)
Inequivalent atoms, fractional coordinates:
K 0.000 0.500 0.000 (multiplicity 2)
In 0.000 0.000 0.500 (multiplicity 1)
Ru 0.500 0.500 0.500 (multiplicity 1)

Computed properties:
M_tot   0.74 μB/f.u.
Energy relative to the elements   0.737 eV/atom

=====

Record 4
Here is an optimized crystal structure of Re3PtPb from Alexandria via LeMat-Bulk. Energies are from GGA-PBE.

a b c (Å): 4.826 4.826 4.826
angles (deg): 90.00 90.00 90.00
Space group Pm-3m (No. 221)
Inequivalent atoms, fractional coordinates:
Re 0.000 0.000 0.500 (multiplicity 3)
Pt 0.000 0.000 0.000 (multiplicity 1)
Pb 0.500 0.500 0.500 (multiplicity 1)

Computed properties:
M_tot   1.86 μB/f.u.
Energy relative to the elements   2.254 eV/atom

=====

Record 5
Here is an optimized crystal structure of LiSiMo2 from Alexandria via LeMat-Bulk. Energies are from GGA-PBE.

a b c (Å): 6.743 6.743 5.237
angles (deg): 90.00 90.00 90.00
Space group I-42d (No. 122)
Inequivalent atoms, fractional coordinates:
Li 0.000 0.000 0.000 (multiplicity 4)
Si 0.000 0.000 0.500 (multiplicity 4)
Mo 0.238 0.250 0.625 (multiplicity 8)

Computed properties:
Formation energy from raw total energies   0.385 eV/atom
M_tot   0.00 μB/f.u.

=====

Record 6
Here is an optimized crystal structure of CeH3Pd3 from Alexandria via LeMat-Bulk. Energies are from GGA-PBE.

a b c (Å): 5.551 5.551 5.551
angles (deg): 90.00 90.00 90.00
Space group Pm-3n (No. 223)
Inequivalent atoms, fractional coordinates:
Ce 0.000 0.000 0.000 (multiplicity 2)
H 0.000 0.250 0.500 (multiplicity 6)
Pd 0.000 0.500 0.250 (multiplicity 6)

Computed properties:
Uncorrected energy   -34.57 eV/f.u.
M_tot   0.98 μB/f.u.

=====

Record 7
Here is an optimized crystal structure of AlPSeBr2 from Alexandria via LeMat-Bulk. Energies are from GGA-PBE.

a b c (Å): 4.921 4.921 5.319
angles (deg): 90.00 90.00 90.00
Space group P4/mmm (No. 123)
Inequivalent atoms, fractional coordinates:
Al 0.000 0.000 0.000 (multiplicity 1)
P 0.500 0.500 0.500 (multiplicity 1)
Se 0.000 0.000 0.500 (multiplicity 1)
Br 0.000 0.500 0.000 (multiplicity 2)

Computed properties:
Formation energy from raw total energies   0.261 eV/atom
M_tot   1.86 μB/f.u.

=====

Record 8
Here is an optimized crystal structure of SrSeO2 from Alexandria via LeMat-Bulk. Energies are from GGA-PBE.

a b c (Å): 3.6645 3.6645 19.1948
angles (deg): 90.00 90.00 120.00
Space group R-3m (No. 166, hexagonal axes)
Inequivalent atoms, fractional coordinates:
Sr 0.0000 0.0000 0.0000 (multiplicity 3)
Se 0.0000 0.0000 0.5000 (multiplicity 3)
O 0.0000 0.0000 0.4008 (multiplicity 6)

Computed properties:
Formation energy from raw total energies   -1.496 eV/atom
M_tot   0.00 μB/f.u.